# 1
Below is a relaxed structure of ScCdCu10, with properties calculated at the PBE level.

Its formation enthalpy at 0 K is -0.30 eV per formula unit. The crystal system is orthorhombic.

The structure belongs to space group Pmmm (No. 47); the cell edges are 4.100, 4.906 and 8.488 Å and the angles 90.00°, 90.00° and 90.00°. The distinct sites, in fractional coordinates, are Sc at (0.000, 0.000, 0.000), Cd at (0.000, 0.500, 0.500), Cu at (0.000, 0.000, 0.336), Cu at (0.000, 0.500, 0.169), Cu at (0.500, 0.000, 0.500), Cu at (0.500, 0.246, 0.245) and Cu at (0.500, 0.500, 0.000).

=====

# 2
Below is a relaxed structure of La3Re2, with properties calculated at the PBE level.

Its formation enthalpy at 0 K is 1.28 eV per formula unit. The crystal system is monoclinic.

The structure belongs to space group C2/m (No. 12); the cell edges are 12.242, 3.577 and 8.363 Å and the angles 90.00°, 132.20° and 90.00°. The distinct sites, in fractional coordinates, are La at (0.000, 0.000, 0.000), La at (0.158, 0.000, 0.572) and Re at (0.163, 0.500, 0.895).

=====

# 3
Below is a relaxed structure of Cs2RuI, with properties calculated at the PBE level.

The formation energy (no corrections) is 0.481 eV/atom. The crystal system is cubic.

The structure belongs to space group Fm-3m (No. 225); the cell edges are 9.227, 9.227 and 9.227 Å and the angles 90.00°, 90.00° and 90.00°. The distinct sites, in fractional coordinates, are Cs at (0.250, 0.250, 0.250), Ru at (0.000, 0.000, 0.000) and I at (0.000, 0.000, 0.500).

=====

# 4
Below is a relaxed structure of CsRb2YCl6, with properties calculated at the PBE level.

The formation energy (no corrections) is -2.142 eV/atom. The crystal system is monoclinic.

The structure belongs to space group P2_1/c (No. 14); the cell edges are 7.912, 8.387 and 13.695 Å and the angles 90.00°, 124.51° and 90.00°. The distinct sites, in fractional coordinates, are Cs at (0.000, 0.000, 0.000), Rb at (0.215, 0.070, 0.743), Y at (0.500, 0.000, 0.500), Cl at (0.174, 0.171, 0.442), Cl at (0.262, 0.740, 0.416) and Cl at (0.422, 0.065, 0.287).

=====

# 5
Below is a relaxed structure of CaPm2Au2, with properties calculated at the PBE level.

Its formation enthalpy at 0 K is -3.36 eV per formula unit. The crystal system is tetragonal.

The structure belongs to space group P4/mbm (No. 127); the cell edges are 8.388, 8.388 and 3.916 Å and the angles 90.00°, 90.00° and 90.00°. The distinct sites, in fractional coordinates, are Ca at (0.000, 0.000, 0.000), Pm at (0.158, 0.342, 0.500) and Au at (0.135, 0.635, 0.000).

=====

# 6
Below is a relaxed structure of Ca6P2I3N, with properties calculated at the PBE level.

The formation energy (no corrections) is -1.312 eV/atom. The crystal system is monoclinic.

The structure belongs to space group C2/m (No. 12); the cell edges are 7.173, 12.418 and 7.826 Å and the angles 90.00°, 107.68° and 90.00°. The distinct sites, in fractional coordinates, are Ca at (0.210, 0.151, 0.178), Ca at (0.243, 0.000, 0.820), P at (0.000, 0.333, 0.000), I at (0.000, 0.168, 0.500), I at (0.000, 0.500, 0.500) and N at (0.000, 0.000, 0.000).

=====

# 7
Below is a relaxed structure of Tl2ReOs, with properties calculated at the PBE level.

Its formation enthalpy at 0 K is 2.05 eV per formula unit. The crystal system is monoclinic.

The structure belongs to space group Pm (No. 6); the cell edges are 2.979, 3.041 and 9.081 Å and the angles 90.00°, 99.34° and 90.00°. The distinct sites, in fractional coordinates, are Tl at (0.000, 0.000, 0.000), Tl at (0.172, 0.500, 0.330), Re at (0.376, 0.500, 0.747) and Os at (0.794, 0.000, 0.583).

=====

# 8
Below is a relaxed structure of TbPuIrPd, with properties calculated at the PBE level.

Its formation enthalpy at 0 K is -2.53 eV per formula unit. The crystal system is cubic.

The structure belongs to space group F-43m (No. 216); the cell edges are 6.950, 6.950 and 6.950 Å and the angles 90.00°, 90.00° and 90.00°. The distinct sites, in fractional coordinates, are Tb at (0.000, 0.000, 0.000), Pu at (0.000, 0.000, 0.500), Ir at (0.250, 0.250, 0.250) and Pd at (0.250, 0.250, 0.750).